Entry 1:
Below is crystalline NaLiTbIn at its relaxed geometry, with properties calculated at the GGA-PBE level.

a b c (Å): 7.3343 7.3343 7.3343
angles (deg): 90.00 90.00 90.00
With the nearest neighbours (Å) after each atom.
Space group F-43m (No. 216)
Unique sites:
Na 0.0000 0.0000 0.0000 [4 per cell]  4 Tb 3.18, 4 Li 3.18
Li 0.2500 0.2500 0.7500 [4 per cell]  4 In 3.18, 4 Na 3.18
Tb 0.2500 0.2500 0.2500 [4 per cell]  4 In 3.18, 4 Na 3.18
In 0.0000 0.0000 0.5000 [4 per cell]  4 Tb 3.18, 4 Li 3.18

Summary:
Its total magnetization is 0.00 μB per cell. As for the formation energy: -0.12 eV per atom. The value obtained for the volume is 24.7 Å³ per atom. Its electronic total energy is -44.3 eV per cell.

=====

Entry 2:
Below is crystalline NaLiTlIn at its relaxed geometry, with properties calculated at the GGA-PBE level.

a b c (Å): 3.4715 3.4715 7.9209
angles (deg): 90.00 90.00 90.00
With the nearest neighbours (Å) after each atom.
Space group P4mm (No. 99)
Unique sites:
Na 0.0000 0.0000 0.0000 [1 per cell]  4 In 3.33, 4 Tl 3.35, 4 Na 3.47
Li 0.0000 0.0000 0.4942 [1 per cell]  4 In 2.97, 4 Tl 3.00
Tl 0.5000 0.5000 0.7128 [1 per cell]  4 Li 3.00, 4 Na 3.35
In 0.5000 0.5000 0.2841 [1 per cell]  4 Li 2.97

Summary:
Its total magnetization is 0.00 μB per cell. As for the formation energy: -0.17 eV per atom. The value obtained for the volume is 23.9 Å³ per atom. Its electronic total energy is -9.0 eV per cell. The energy relative to the lowest polymorph listed for this composition is 0 meV/atom.

=====

Entry 3:
Below is crystalline Na2LiTl2In at its relaxed geometry, with properties calculated at the GGA-PBE level.

a b c (Å): 6.2410 16.8653 6.2045
angles (deg): 90.00 90.00 90.00
With the nearest neighbours (Å) after each atom.
Space group Ibam (No. 72)
Unique sites:
Na 0.1961 0.1779 0.0000 [8 per cell]  5 Tl 3.22-3.28, 2 In 3.59
Li 0.0000 0.5000 0.2500 [4 per cell]  4 Tl 2.93, 2 Li 3.10, 2 In 3.12
Tl 0.1944 0.3716 0.0000 [8 per cell]  2 Li 2.93, 3 Na 3.22-3.27, 2 In 3.28
In 0.0000 0.0000 0.2500 [4 per cell]  2 In 3.10, 2 Li 3.12, 4 Tl 3.28

Summary:
Its total magnetization is 0.00 μB per cell. As for the formation energy: -0.10 eV per atom. The value obtained for the volume is 27.2 Å³ per atom. Its electronic total energy is -50.4 eV per cell.

=====

Entry 4:
Below is crystalline Na2LiTl5In at its relaxed geometry, with properties calculated at the GGA-PBE level.

a b c (Å): 5.2833 18.1123 10.3517
angles (deg): 90.00 90.00 90.00
With the nearest neighbours (Å) after each atom.
Space group Cmc2_1 (No. 36)
Unique sites:
Na 0.0000 0.1104 0.0000 [4 per cell]  9 Tl 3.22-3.44, 1 In 3.42
Na 0.0000 0.1114 0.5755 [4 per cell]  9 Tl 3.23-3.44, 1 In 3.42
Li 0.0000 0.4156 0.7879 [4 per cell]  6 Tl 2.89-3.01
Tl 0.0000 0.0192 0.2877 [4 per cell]  2 Li 2.89, 2 Na 3.22-3.23
Tl 0.0000 0.2970 0.9773 [4 per cell]  1 Li 2.91
Tl 0.0000 0.2980 0.5961 [4 per cell]  1 Li 2.91
Tl 0.0000 0.3860 0.2877 [4 per cell]  1 In 3.30, 6 Tl 3.31-3.59, 4 Na 3.44, 1 Li 3.59
Tl 0.0000 0.4997 0.0379 [4 per cell]  2 Li 3.00-3.01, 2 Tl 3.31-3.32, 4 Na 3.34
In 0.0000 0.2036 0.2867 [4 per cell]  8 Tl 3.30-3.63, 2 Li 3.41, 2 Na 3.42

Summary:
Its total magnetization is 0.00 μB per cell. As for the formation energy: -0.09 eV per atom. The value obtained for the volume is 27.5 Å³ per atom. Its electronic total energy is -79.6 eV per cell.

=====

Entry 5:
Below is crystalline NaLiTlIn at its relaxed geometry, with properties calculated at the GGA-PBE level.

a b c (Å): 7.2900 7.2900 7.2900
angles (deg): 90.00 90.00 90.00
With the nearest neighbours (Å) after each atom.
Space group F-43m (No. 216)
Unique sites:
Na 0.0000 0.0000 0.0000 [4 per cell]  4 Li 3.16, 4 Tl 3.16
Li 0.2500 0.2500 0.2500 [4 per cell]  4 In 3.16, 4 Na 3.16
Tl 0.2500 0.2500 0.7500 [4 per cell]  4 Na 3.16, 4 In 3.16
In 0.0000 0.0000 0.5000 [4 per cell]  4 Tl 3.16, 4 Li 3.16

Summary:
Its total magnetization is 0.00 μB per cell. As for the formation energy: -0.14 eV per atom. The value obtained for the volume is 24.2 Å³ per atom. Its electronic total energy is -35.6 eV per cell. The energy relative to the lowest polymorph listed for this composition is 26 meV/atom.

=====

Entry 6:
Below is crystalline NaLiTl3In at its relaxed geometry, with properties calculated at the GGA-PBE level.

a b c (Å): 4.9143 14.5883 8.8883
angles (deg): 90.00 90.00 90.00
With the nearest neighbours (Å) after each atom.
Space group Cmcm (No. 63)
Unique sites:
Na 0.0000 0.1773 0.2500 [4 per cell]  8 Tl 3.27-3.42, 2 In 3.41
Li 0.0000 0.4910 0.2500 [4 per cell]  6 Tl 3.11-3.32, 4 In 3.32
Tl 0.0000 0.1620 0.7500 [4 per cell]  2 In 3.24, 2 Li 3.32, 6 Tl 3.39-3.46, 2 Na 3.40
Tl 0.0000 0.3494 0.5118 [8 per cell]  2 Li 3.11-3.15, 3 Na 3.27-3.42, 2 In 3.30, 3 Tl 3.39-3.46
In 0.0000 0.0000 0.0000 [4 per cell]  6 Tl 3.24-3.30, 4 Li 3.32, 2 Na 3.41

Summary:
Its total magnetization is 0.00 μB per cell. As for the formation energy: -0.10 eV per atom. The value obtained for the volume is 26.6 Å³ per atom. Its electronic total energy is -54.6 eV per cell.

=====

Please write out number 3 again, unchanged.
Below is crystalline Na2LiTl2In at its relaxed geometry, with properties calculated at the GGA-PBE level.

a b c (Å): 6.2410 16.8653 6.2045
angles (deg): 90.00 90.00 90.00
With the nearest neighbours (Å) after each atom.
Space group Ibam (No. 72)
Unique sites:
Na 0.1961 0.1779 0.0000 [8 per cell]  5 Tl 3.22-3.28, 2 In 3.59
Li 0.0000 0.5000 0.2500 [4 per cell]  4 Tl 2.93, 2 Li 3.10, 2 In 3.12
Tl 0.1944 0.3716 0.0000 [8 per cell]  2 Li 2.93, 3 Na 3.22-3.27, 2 In 3.28
In 0.0000 0.0000 0.2500 [4 per cell]  2 In 3.10, 2 Li 3.12, 4 Tl 3.28

Summary:
Its total magnetization is 0.00 μB per cell. As for the formation energy: -0.10 eV per atom. The value obtained for the volume is 27.2 Å³ per atom. Its electronic total energy is -50.4 eV per cell.